(1)
Here is a geometry-optimized Pu4Bi8Pt3 structure from Alexandria. Energies are from PBE.

Lattice parameters (Å, degrees): 4.6741 4.6741 18.6809 90.00 90.00 90.00
Space group P-4m2 (No. 115)
Symmetry-distinct sites (fractional):
Pu  0.0000  0.5000  0.1069 x2
Pu  0.0000  0.5000  0.6102 x2
Bi  0.0000  0.0000  0.2475 x2
Bi  0.0000  0.5000  0.4076 x2
Bi  0.0000  0.5000  0.9148 x2
Bi  0.5000  0.5000  0.2471 x2
Pt  0.0000  0.0000  0.0000 x1
Pt  0.0000  0.0000  0.5000 x1
Pt  0.5000  0.5000  0.5000 x1

Output
ΔH_f (0 K)   -397 meV/atom

=====

(2)
Here is a geometry-optimized PuBiPt5 structure from Alexandria. Energies are from PBE.

Lattice parameters (Å, degrees): 8.9686 5.5262 11.0546 90.00 90.00 90.00
Space group Pnma (No. 62)
Symmetry-distinct sites (fractional):
Pu  0.2354  0.2500  0.0543 x4
Bi  0.1218  0.2500  0.3551 x4
Pt  0.0884  0.7500  0.0288 x4
Pt  0.0936  0.5031  0.8167 x8
Pt  0.1091  0.2500  0.5985 x4
Pt  0.1508  0.7500  0.2740 x4

Output
ΔH_f (0 K)   -383 meV/atom

=====

(3)
Here is a geometry-optimized PuBiPt10 structure from Alexandria. Energies are from PBE.

Lattice parameters (Å, degrees): 4.4725 5.3840 9.2934 90.00 90.00 90.00
Space group Pmmm (No. 47)
Symmetry-distinct sites (fractional):
Pu  0.0000  0.0000  0.0000 x1
Bi  0.0000  0.5000  0.5000 x1
Pt  0.0000  0.0000  0.3337 x2
Pt  0.0000  0.5000  0.1686 x2
Pt  0.5000  0.0000  0.5000 x1
Pt  0.5000  0.2468  0.2461 x4
Pt  0.5000  0.5000  0.0000 x1

Output
ΔH_f (0 K)   -278 meV/atom

=====

(4)
Here is a geometry-optimized Pu2BiPt2 structure from Alexandria. Energies are from PBE.

Lattice parameters (Å, degrees): 7.8186 7.8186 3.8142 90.00 90.00 90.00
Space group P4/mbm (No. 127)
Symmetry-distinct sites (fractional):
Pu  0.1747  0.3253  0.0000 x4
Bi  0.0000  0.0000  0.5000 x2
Pt  0.1254  0.6254  0.5000 x4

Output
Energy relative to the lowest polymorph listed for this composition   0.0 meV/atom
ΔH_f (0 K)   -715 meV/atom

=====

(5)
Here is a geometry-optimized PuBiPt structure from Alexandria. Energies are from PBE.

Lattice parameters (Å, degrees): 3.7734 18.9871 4.2720 90.00 90.00 90.00
Space group Cmcm (No. 63)
Symmetry-distinct sites (fractional):
Pu  0.0000  0.0896  0.2500 x4
Bi  0.0000  0.3030  0.2500 x4
Pt  0.0000  0.4549  0.2500 x4

Output
ΔH_f (0 K)   -538 meV/atom

=====

(6)
Here is a geometry-optimized PuBiPt structure from Alexandria. Energies are from PBE.

Lattice parameters (Å, degrees): 4.6793 4.6793 3.9620 90.00 90.00 120.00
Space group P3m1 (No. 156)
Symmetry-distinct sites (fractional):
Pu  0.0000  0.0000  0.0000 x1
Bi  0.3333  0.6667  0.4693 x1
Pt  0.6667  0.3333  0.6076 x1

Output
ΔH_f (0 K)   -455 meV/atom

=====

Which of these has the lowest ΔH_f (0 K)? Pu2BiPt2